# PBE TaMn2Pt, optimized geometry
# Magnetic moment: 6.0 Bohr magnetons per cell
# Calculated formation energy: 0.0573 eV/atom
# Polymorph energy (0 for the lowest one): 352 meV/atom
# D(E_F): 0.744 states/eV/atom
# Crystal system: trigonal
data_TaMn2Pt
_chemical_formula_sum 'Ta1 Mn2 Pt1'
_cell_length_a 9.0697
_cell_length_b 9.0697
_cell_length_c 9.0697
_cell_angle_alpha 17.84
_cell_angle_beta 17.84
_cell_angle_gamma 17.84
_symmetry_space_group_name_H-M 'P 1'
_symmetry_Int_Tables_number 1
loop_
_symmetry_equiv_pos_as_xyz
'x,y,z'
loop_
_atom_site_label
_atom_site_type_symbol
_atom_site_fract_x
_atom_site_fract_y
_atom_site_fract_z
_atom_site_occupancy
Ta1 Ta 0.7486 0.7486 0.7486 1
Mn1 Mn 0.9971 0.9971 0.9971 1
Pt1 Pt 0.5023 0.5023 0.5023 1
Mn2 Mn 0.2520 0.2520 0.2520 1